No. 1
Below is a geometry-optimized CuHgTe2 structure, with properties calculated at the PBEsol level.

Geometry as POSCAR:
```
CuHgTe2
1.0
-4.268 -3.750 -2.371
1.149 -4.112 4.436
-2.657 6.521 2.461
Te Hg Cu
4 2 2
Direct
0.625 0.584 0.750
0.834 0.375 0.250
0.416 0.875 0.250
0.125 0.166 0.750
0.250 0.750 0.500
0.000 0.000 0.000
0.500 0.500 0.000
0.750 0.250 0.500
```

Results
The value obtained for the formation energy (no corrections) is -55 meV per atom. As for the crystal system: tetragonal.

---

No. 2
Below is a geometry-optimized Na3TcPb structure, with properties calculated at the PBEsol level.

Geometry as POSCAR:
```
Na3TcPb
1.0
-4.677 2.535 1.201
0.875 -0.900 5.307
2.665 4.744 0.365
Pb Tc Na
1 1 3
Direct
0.500 0.500 0.500
0.000 0.000 0.000
0.500 0.000 0.000
0.000 0.000 0.500
0.000 0.500 0.000
```

Results
Its formation enthalpy at 0 K is 6.689 eV per formula unit. As for the crystal system: cubic.

---

No. 3
Below is a geometry-optimized AlCr structure, with properties calculated at the PBEsol level.

Geometry as POSCAR:
```
AlCr
1.0
2.961 0.000 0.000
0.000 2.961 0.000
0.000 0.000 5.822
Cr Al
2 2
Direct
0.500 0.000 0.603
0.000 0.500 0.397
0.500 0.000 0.147
0.000 0.500 0.853
```

Results
Its formation enthalpy at 0 K is -0.248 eV per formula unit. As for the crystal system: tetragonal.

---

No. 4
Below is a geometry-optimized Ta2MoAs structure, with properties calculated at the PBEsol level.

Geometry as POSCAR:
```
Ta2MoAs
1.0
2.901 0.003 0.000
-0.993 2.725 0.000
0.000 0.000 8.347
As Ta Mo
1 2 1
Direct
0.500 0.500 0.500
0.000 0.000 0.256
0.000 0.000 0.744
0.500 0.500 0.000
```

Results
Its formation enthalpy at 0 K is -0.507 eV per formula unit. As for the crystal system: orthorhombic.

---

No. 5
Below is a geometry-optimized SrZnSe3 structure, with properties calculated at the PBEsol level.

Geometry as POSCAR:
```
SrZnSe3
1.0
5.786 0.000 0.000
0.000 5.786 0.000
0.000 0.000 5.786
Zn Sr Se
1 1 3
Direct
0.500 0.500 0.500
0.000 0.000 0.000
0.000 0.000 0.500
0.000 0.500 0.000
0.500 0.000 0.000
```

Results
The value obtained for the formation energy (no corrections) is 403 meV per atom. As for the crystal system: cubic.

---

No. 6
Below is a geometry-optimized Y3Al3V2O12 structure, with properties calculated at the PBEsol level.

Geometry as POSCAR:
```
Y3Al3V2O12
1.0
10.510 0.000 0.000
-3.503 9.909 0.000
-3.503 -4.954 8.581
O V Al Y
48 8 12 12
Direct
0.877 0.791 0.475
0.684 0.709 0.586
0.414 0.623 0.598
0.586 0.209 0.684
0.525 0.709 0.123
0.975 0.098 0.184
0.791 0.816 0.914
0.086 0.402 0.377
0.914 0.316 0.791
0.902 0.316 0.525
0.525 0.816 0.902
0.316 0.025 0.402
0.184 0.598 0.975
0.316 0.291 0.414
0.025 0.902 0.816
0.098 0.684 0.475
0.291 0.914 0.816
0.377 0.475 0.791
0.475 0.184 0.098
0.877 0.086 0.902
0.598 0.475 0.684
0.598 0.123 0.414
0.377 0.902 0.086
0.816 0.414 0.291
0.791 0.975 0.377
0.098 0.414 0.123
0.209 0.184 0.086
0.975 0.877 0.291
0.623 0.098 0.914
0.025 0.123 0.709
0.086 0.684 0.209
0.586 0.377 0.402
0.291 0.377 0.975
0.816 0.402 0.025
0.414 0.791 0.316
0.209 0.025 0.623
0.709 0.086 0.184
0.902 0.586 0.877
0.684 0.975 0.598
0.402 0.877 0.586
0.709 0.623 0.025
0.914 0.598 0.623
0.123 0.209 0.525
0.623 0.525 0.209
0.184 0.586 0.709
0.123 0.914 0.098
0.402 0.525 0.316
0.475 0.291 0.877
0.500 0.000 0.500
0.500 0.500 0.500
0.000 0.500 0.000
0.500 0.500 0.000
0.000 0.000 0.000
0.500 0.000 0.000
0.000 0.500 0.500
0.000 0.000 0.500
0.750 0.125 0.375
0.125 0.250 0.375
0.875 0.750 0.625
0.250 0.375 0.125
0.125 0.875 0.250
0.250 0.875 0.625
0.375 0.625 0.750
0.625 0.375 0.250
0.625 0.250 0.875
0.375 0.750 0.125
0.750 0.625 0.875
0.875 0.125 0.750
0.625 0.750 0.375
0.625 0.875 0.750
0.750 0.375 0.625
0.125 0.375 0.750
0.875 0.625 0.250
0.875 0.250 0.125
0.375 0.125 0.250
0.375 0.250 0.625
0.250 0.125 0.875
0.125 0.750 0.875
0.750 0.875 0.125
0.250 0.625 0.375
```

Results
The value obtained for the formation energy (no corrections) is -3077 meV per atom. As for the crystal system: cubic.

---

No. 7
Below is a geometry-optimized KAgSe structure, with properties calculated at the PBEsol level.

Geometry as POSCAR:
```
KAgSe
1.0
4.450 0.000 0.000
-2.225 3.854 0.000
0.000 0.000 4.696
Ag Se K
1 1 1
Direct
0.000 0.000 0.500
0.667 0.333 0.500
0.333 0.667 0.000
```

Results
The value obtained for the formation energy (no corrections) is -657 meV per atom. As for the crystal system: hexagonal.

---

No. 8
Below is a geometry-optimized CaLa2Rh structure, with properties calculated at the PBEsol level.

Geometry as POSCAR:
```
CaLa2Rh
1.0
4.050 0.000 0.000
2.025 3.508 0.000
2.025 1.169 9.621
Ca Rh La
1 1 2
Direct
0.000 0.000 0.000
0.500 0.500 0.500
0.221 0.221 0.337
0.779 0.779 0.663
```

Results
Its formation enthalpy at 0 K is -1.348 eV per formula unit. The calculation puts the distance to the lowest polymorph of the same formula at 0 meV per atom. As for the crystal system: trigonal.

---

No. 9
Below is a geometry-optimized La2NiTe structure, with properties calculated at the PBEsol level.

Geometry as POSCAR:
```
La2NiTe
1.0
3.719 0.000 0.000
0.000 3.804 0.023
0.000 -1.148 7.292
Ni Te La
1 1 2
Direct
0.500 0.500 0.500
0.500 0.500 0.000
0.000 0.083 0.276
0.000 0.917 0.724
```

Results
The value obtained for the formation energy (no corrections) is -734 meV per atom. As for the crystal system: monoclinic.

---

No. 10
Below is a geometry-optimized Al2GaAu2 structure, with properties calculated at the PBEsol level.

Geometry as POSCAR:
```
Al2GaAu2
1.0
3.946 0.000 0.000
0.000 3.946 0.000
-1.973 -1.973 5.911
Al Ga Au
2 1 2
Direct
0.750 0.250 0.500
0.250 0.750 0.500
0.000 0.000 0.000
0.386 0.386 0.772
0.614 0.614 0.228
```

Results
Its formation enthalpy at 0 K is -0.884 eV per formula unit. As for the crystal system: tetragonal.

---

No. 11
Below is a geometry-optimized LaSc2Ta structure, with properties calculated at the PBEsol level.

Geometry as POSCAR:
```
LaSc2Ta
1.0
-2.587 0.637 1.558
-0.957 -4.557 -2.783
2.183 -2.647 4.708
Sc La Ta
2 1 1
Direct
0.995 0.990 0.975
0.244 0.488 0.735
0.754 0.507 0.254
0.507 0.014 0.535
```

Results
Its formation enthalpy at 0 K is 1.121 eV per formula unit. As for the crystal system: monoclinic.

---

No. 12
Below is a geometry-optimized Fe2ReMo structure, with properties calculated at the PBEsol level.

Geometry as POSCAR:
```
Fe2ReMo
1.0
3.022 0.000 0.000
0.000 3.022 0.000
0.000 0.000 5.714
Fe Re Mo
2 1 1
Direct
0.500 0.500 0.235
0.000 0.000 0.015
0.500 0.500 0.759
0.000 0.000 0.491
```

Results
Its formation enthalpy at 0 K is 0.430 eV per formula unit. As for the crystal system: tetragonal.

---

No. 13
Below is a geometry-optimized RbIn2SiSb structure, with properties calculated at the PBEsol level.

Geometry as POSCAR:
```
RbIn2SiSb
1.0
5.692 0.000 0.000
0.000 5.692 0.000
0.000 0.000 6.682
Sb Rb In Si
1 1 2 1
Direct
0.000 0.000 0.000
0.000 0.000 0.500
0.000 0.500 0.000
0.500 0.000 0.000
0.500 0.500 0.500
```

Results
The value obtained for the formation energy (no corrections) is 804 meV per atom. As for the crystal system: tetragonal.

---

No. 14
Below is a geometry-optimized K2MoPtSe structure, with properties calculated at the PBEsol level.

Geometry as POSCAR:
```
K2MoPtSe
1.0
4.656 0.000 0.000
0.000 6.323 0.000
0.000 0.000 6.323
Se K Pt Mo
1 2 1 1
Direct
0.500 0.000 0.000
0.000 0.500 0.000
0.000 0.000 0.500
0.500 0.500 0.500
0.000 0.000 0.000
```

Results
The value obtained for the formation energy (no corrections) is 1091 meV per atom. As for the crystal system: tetragonal.

---

No. 15
Below is a geometry-optimized SrZrSc4 structure, with properties calculated at the PBEsol level.

Geometry as POSCAR:
```
SrZrSc4
1.0
-4.146 -3.757 2.513
-3.087 -3.958 -3.525
1.153 -6.011 0.402
Zr Sr Sc
1 1 4
Direct
0.000 0.000 0.000
0.750 0.750 0.750
0.370 0.370 0.370
0.890 0.370 0.370
0.370 0.370 0.890
0.370 0.890 0.370
```

Results
Its formation enthalpy at 0 K is 2.640 eV per formula unit. As for the crystal system: cubic.

---

No. 16
Below is a geometry-optimized CdFeBr2 structure, with properties calculated at the PBEsol level.

Geometry as POSCAR:
```
CdFeBr2
1.0
-1.414 -1.800 -2.231
0.679 -2.627 1.690
-7.883 0.775 4.371
Fe Br Cd
1 2 1
Direct
0.500 0.500 0.500
0.000 0.000 0.325
0.000 0.000 0.675
0.500 0.500 0.000
```

Results
The calculation puts the distance to the lowest polymorph of the same formula at 44 meV per atom. The value obtained for the formation energy (no corrections) is 81 meV per atom. As for the crystal system: tetragonal.

---

No. 17
Below is a geometry-optimized VPd3 structure, with properties calculated at the PBEsol level.

Geometry as POSCAR:
```
VPd3
1.0
2.716 0.000 0.000
1.358 2.352 0.000
1.358 0.784 8.785
V Pd
1 3
Direct
0.000 0.000 0.000
0.500 0.500 0.500
0.746 0.746 0.763
0.254 0.254 0.237
```

Results
Its formation enthalpy at 0 K is -0.717 eV per formula unit. As for the crystal system: trigonal.

---

No. 18
Below is a geometry-optimized CuSiAg2 structure, with properties calculated at the PBEsol level.

Geometry as POSCAR:
```
CuSiAg2
1.0
-1.966 -0.218 1.941
0.219 -3.917 -0.219
3.814 -0.003 3.863
Ag Cu Si
2 1 1
Direct
0.000 0.000 0.247
0.000 0.000 0.753
0.500 0.500 0.000
0.500 0.500 0.500
```

Results
The value obtained for the formation energy (no corrections) is 162 meV per atom. As for the crystal system: orthorhombic.

---

No. 19
Below is a geometry-optimized ZrFe2Ir structure, with properties calculated at the PBEsol level.

Geometry as POSCAR:
```
ZrFe2Ir
1.0
3.772 0.000 0.000
0.000 3.772 0.000
0.000 0.000 3.995
Zr Fe Ir
1 2 1
Direct
0.000 0.000 0.500
0.000 0.500 0.000
0.500 0.000 0.000
0.500 0.500 0.500
```

Results
Its formation enthalpy at 0 K is -0.910 eV per formula unit. As for the crystal system: tetragonal.

---

No. 20
Below is a geometry-optimized TlMoI2N structure, with properties calculated at the PBEsol level.

Geometry as POSCAR:
```
TlMoI2N
1.0
-1.203 -3.192 -2.140
-0.610 -3.199 5.116
-5.756 1.852 0.472
I Mo Tl N
2 1 1 1
Direct
0.000 0.500 0.000
0.000 0.000 0.500
0.500 0.500 0.500
0.000 0.000 0.000
0.500 0.000 0.000
```

Results
The value obtained for the formation energy (no corrections) is 1600 meV per atom. As for the crystal system: tetragonal.